Entry from Alexandria via LeMat-Bulk: crystalline Dy2TmZr at its relaxed geometry (GGA-PBE).

Unit cell a=4.0102 b=4.0102 c=7.1332 alpha=90.00 beta=90.00 gamma=90.00
Last column: nearest neighbours and their distance in Å.
Fractional positions:
Tm (0.5000, 0.5000, 0.0000)  8 Dy 3.43, 2 Zr 3.57
Zr (0.5000, 0.5000, 0.5000)  8 Dy 3.27, 2 Tm 3.57
Dy (0.0000, 0.0000, 0.7286)  1 Dy 3.26, 4 Zr 3.27, 4 Tm 3.43
Dy (0.0000, 0.0000, 0.2714)  1 Dy 3.26, 4 Zr 3.27, 4 Tm 3.43

## Properties
Energy above the most stable polymorph in this dataset (meV/atom): 93
Total magnetic moment (μB/cell): 0.0
Volume (Å³/atom): 28.7
Space-group type: P4/mmm
Energy of formation (meV/atom): 167
Final energy (eV for the cell shown): -21.557